[1]
A plane-wave DFT calculation with PBE+U was carried out for a geometry-optimized Cr5O12 structure.

Geometry as POSCAR:
```
Cr5O12
1.0
-7.1562 -5.0999 2.4101
3.0560 -6.7418 -5.1919
6.4599 -4.5038 9.6507
Cr O
20 48
direct
0.2500 0.0278 0.5000 Cr
0.7500 0.9722 0.5000 Cr
0.5394 0.2502 0.6186 Cr
0.0394 0.7498 0.6186 Cr
0.8819 0.4003 0.6468 Cr
0.3819 0.5997 0.6468 Cr
0.3819 0.0997 0.8532 Cr
0.8819 0.9003 0.8532 Cr
0.0394 0.2498 0.8814 Cr
0.5394 0.7502 0.8814 Cr
0.7500 0.4722 0.0000 Cr
0.2500 0.5278 0.0000 Cr
0.4606 0.2498 0.1186 Cr
0.9606 0.7502 0.1186 Cr
0.1181 0.0997 0.1468 Cr
0.6181 0.9003 0.1468 Cr
0.6181 0.4003 0.3532 Cr
0.1181 0.5997 0.3532 Cr
0.9606 0.2502 0.3814 Cr
0.4606 0.7498 0.3814 Cr
0.9183 0.3309 0.5265 O
0.4183 0.6691 0.5265 O
0.1729 0.9204 0.5930 O
0.6729 0.0796 0.5930 O
0.3749 0.1324 0.5600 O
0.8749 0.8676 0.5600 O
0.4026 0.4164 0.6460 O
0.9026 0.5836 0.6460 O
0.7076 0.3647 0.6785 O
0.2076 0.6353 0.6785 O
0.9967 0.3256 0.7354 O
0.4967 0.6744 0.7354 O
0.4967 0.1744 0.7646 O
0.9967 0.8256 0.7646 O
0.7076 0.8647 0.8215 O
0.2076 0.1353 0.8215 O
0.9026 0.0836 0.8540 O
0.4026 0.9164 0.8540 O
0.8749 0.3676 0.9400 O
0.3749 0.6324 0.9400 O
0.1729 0.4204 0.9070 O
0.6729 0.5796 0.9070 O
0.9183 0.8309 0.9735 O
0.4183 0.1691 0.9735 O
0.0817 0.1691 0.0265 O
0.5817 0.8309 0.0265 O
0.3271 0.4204 0.0930 O
0.8271 0.5796 0.0930 O
0.6251 0.3676 0.0600 O
0.1251 0.6324 0.0600 O
0.5974 0.0836 0.1460 O
0.0974 0.9164 0.1460 O
0.2924 0.1353 0.1785 O
0.7924 0.8647 0.1785 O
0.0033 0.1744 0.2354 O
0.5033 0.8256 0.2354 O
0.5033 0.3256 0.2646 O
0.0033 0.6744 0.2646 O
0.7924 0.3647 0.3215 O
0.2924 0.6353 0.3215 O
0.0974 0.4164 0.3540 O
0.5974 0.5836 0.3540 O
0.1251 0.1324 0.4400 O
0.6251 0.8676 0.4400 O
0.8271 0.0796 0.4070 O
0.3271 0.9204 0.4070 O
0.5817 0.3309 0.4735 O
0.0817 0.6691 0.4735 O
```

Output
E_tot = -7.08 eV/atom
DOS(E_F) = 0.0 states/eV per cell
calculated volume = 1026.2 Å³/cell

***

[2]
A plane-wave DFT calculation with PBE+U was carried out for a geometry-optimized Cr4O9 structure.

Geometry as POSCAR:
```
Cr4O9
1.0
8.3990 0.0000 0.0000
0.0000 8.3990 0.0000
0.0000 0.0000 5.6725
Cr O
8 18
direct
0.4038 0.7117 0.3876 Cr
0.2883 0.4038 0.6124 Cr
0.7883 0.9038 0.3876 Cr
0.9038 0.2117 0.6124 Cr
0.5962 0.2883 0.3876 Cr
0.2117 0.0962 0.3876 Cr
0.0962 0.7883 0.6124 Cr
0.7117 0.5962 0.6124 Cr
0.5000 0.5000 0.5000 O
0.0000 0.0000 0.5000 O
0.7047 0.5924 0.8942 O
0.0924 0.7953 0.8942 O
0.9076 0.2047 0.8942 O
0.2953 0.4076 0.8942 O
0.7953 0.9076 0.1058 O
0.4076 0.7047 0.1058 O
0.5924 0.2953 0.1058 O
0.2047 0.0924 0.1058 O
0.3929 0.2172 0.4937 O
0.7172 0.1071 0.4937 O
0.2828 0.8929 0.4937 O
0.6071 0.7828 0.4937 O
0.8929 0.7172 0.5063 O
0.7828 0.3929 0.5063 O
0.2172 0.6071 0.5063 O
0.1071 0.2828 0.5063 O
```

Output
E_tot = -6.99 eV/atom
DOS(E_F) = 2.5 states/eV per cell
calculated volume = 400.2 Å³/cell